A relaxed structure of Ba2MgTlH, computed with GGA-PBE.

Lattice parameters (Å, degrees): 5.7494 5.7494 4.8078 90.00 90.00 90.00
Fractional coordinates of all 5 atoms:
Ba 0.0000 0.5000 0.0000
Ba 0.5000 0.0000 0.0000
Mg 0.0000 0.0000 0.5000
Tl 0.5000 0.5000 0.5000
H 0.5000 0.5000 0.0000

Its density is 5.3 g cm⁻³. The value obtained for the relative energy among the computed polymorphs is 78 meV per atom. The calculation puts the total energy at -2.423 eV/atom.


A relaxed structure of KCaIN2, computed with GGA-PBE.

Lattice parameters (Å, degrees): 4.9237 4.9237 6.4153 90.00 90.00 90.00
Fractional coordinates of all 5 atoms:
K 0.0000 0.0000 0.0000
Ca 0.5000 0.5000 0.5000
I 0.5000 0.5000 0.0000
N 0.0000 0.5000 0.5000
N 0.5000 0.0000 0.5000

Its density is 2.5 g cm⁻³. The value obtained for the relative energy among the computed polymorphs is 0 meV per atom. For the formation energy (no corrections), the calculation gives 447.1 meV/atom. The calculation puts the total energy at -3.813 eV/atom.


A relaxed structure of Sm2B2Os2C, computed with GGA-PBE.

Lattice parameters (Å, degrees): 10.9302 3.7508 6.7431 90.00 126.19 90.00
Fractional coordinates of all 14 atoms:
Sm 0.0672 0.0000 0.3228
Sm 0.4328 0.5000 0.6772
Sm 0.5672 0.5000 0.3228
Sm 0.9328 0.0000 0.6772
B 0.1920 0.5000 0.7575
B 0.3080 0.0000 0.2425
B 0.6920 0.0000 0.7575
B 0.8080 0.5000 0.2425
Os 0.2034 0.5000 0.0981
Os 0.2966 0.0000 0.9019
Os 0.7034 0.0000 0.0981
Os 0.7966 0.5000 0.9019
C 0.0000 0.5000 0.0000
C 0.5000 0.0000 0.0000

Its density is 10.6 g cm⁻³. The calculation puts the formation energy at -3.0 eV per formula unit. The calculation puts the total energy at -8.210 eV/atom.


A relaxed structure of Li11Cd4Hg9, computed with GGA-PBE.

Lattice parameters (Å, degrees): 12.0795 12.0795 3.2967 90.00 90.00 107.62
Fractional coordinates of all 24 atoms:
Li 0.0000 0.0000 0.0000
Li 0.0480 0.4043 0.0000
Li 0.1833 0.8167 0.0000
Li 0.2064 0.2064 0.0000
Li 0.3652 0.6348 0.0000
Li 0.4043 0.0480 0.0000
Li 0.5957 0.9520 0.0000
Li 0.6348 0.3652 0.0000
Li 0.7936 0.7936 0.0000
Li 0.8167 0.1833 0.0000
Li 0.9520 0.5957 0.0000
Cd 0.2487 0.4134 0.5000
Cd 0.4134 0.2487 0.5000
Cd 0.5866 0.7513 0.5000
Cd 0.7513 0.5866 0.5000
Hg 0.0167 0.2036 0.5000
Hg 0.1518 0.6156 0.5000
Hg 0.2036 0.0167 0.5000
Hg 0.3844 0.8482 0.5000
Hg 0.5000 0.5000 0.5000
Hg 0.6156 0.1518 0.5000
Hg 0.7964 0.9833 0.5000
Hg 0.8482 0.3844 0.5000
Hg 0.9833 0.7964 0.5000

Its density is 8.4 g cm⁻³. The calculation puts the formation energy at -7.4 eV per formula unit. The calculation puts the total energy at -1.450 eV/atom.


A relaxed structure of CaZr2P, computed with GGA-PBE.

Lattice parameters (Å, degrees): 3.4579 4.0202 14.3326 90.00 90.00 90.00
Fractional coordinates of all 8 atoms:
Ca 0.0000 0.0000 0.0000
Ca 0.5000 0.5000 0.5000
Zr 0.0000 0.0000 0.3382
Zr 0.0000 0.5000 0.1838
Zr 0.5000 0.0000 0.6838
Zr 0.5000 0.5000 0.8382
P 0.0000 0.5000 0.6912
P 0.5000 0.0000 0.1912

Its density is 4.2 g cm⁻³. The calculation puts the formation energy at -1.4 eV per formula unit. The calculation puts the total energy at -6.474 eV/atom.


A relaxed structure of KCo2Tc, computed with GGA-PBE.

Lattice parameters (Å, degrees): 2.5480 5.1328 10.2339 90.00 90.00 90.00
Fractional coordinates of all 8 atoms:
K 0.0000 0.0000 0.0000
K 0.5000 0.5000 0.5000
Co 0.0000 0.0000 0.5165
Co 0.0000 0.5000 0.2146
Co 0.5000 0.0000 0.7146
Co 0.5000 0.5000 0.0165
Tc 0.0000 0.5000 0.7977
Tc 0.5000 0.0000 0.2977

Its density is 6.3 g cm⁻³. The value obtained for the relative energy among the computed polymorphs is 324 meV per atom. The calculation puts the formation energy at 4.0 eV per formula unit. The calculation puts the total energy at -5.408 eV/atom.


A relaxed structure of CaCu2, computed with GGA-PBE.

Lattice parameters (Å, degrees): 3.8610 5.7966 10.5597 90.00 90.00 90.00
Fractional coordinates of all 12 atoms:
Ca 0.0000 0.0000 0.1755
Ca 0.0000 0.0000 0.8245
Ca 0.5000 0.5000 0.3245
Ca 0.5000 0.5000 0.6755
Cu 0.0000 0.2159 0.5000
Cu 0.0000 0.5000 0.1106
Cu 0.0000 0.5000 0.8894
Cu 0.0000 0.7841 0.5000
Cu 0.5000 0.0000 0.3894
Cu 0.5000 0.0000 0.6106
Cu 0.5000 0.2841 0.0000
Cu 0.5000 0.7159 0.0000

Its density is 4.7 g cm⁻³. The calculation puts the formation energy at -0.1 eV per formula unit. The calculation puts the total energy at -3.434 eV/atom.


A relaxed structure of Y4Bi2Rh, computed with GGA-PBE.

Lattice parameters (Å, degrees): 6.9241 6.6288 8.7818 90.00 101.18 90.00
Fractional coordinates of all 14 atoms:
Y 0.1546 0.0080 0.2979
Y 0.1546 0.4920 0.2979
Y 0.3054 0.2500 0.9347
Y 0.3232 0.7500 0.6628
Y 0.6768 0.2500 0.3372
Y 0.6946 0.7500 0.0653
Y 0.8454 0.5080 0.7021
Y 0.8454 0.9920 0.7021
Bi 0.1775 0.7500 0.9784
Bi 0.4441 0.2500 0.6169
Bi 0.5559 0.7500 0.3831
Bi 0.8225 0.2500 0.0216
Rh 0.0426 0.2500 0.5529
Rh 0.9574 0.7500 0.4471

Its density is 7.4 g cm⁻³. The calculation puts the formation energy at -4.7 eV per formula unit. The calculation puts the total energy at -6.527 eV/atom.


A relaxed structure of BeRe2Si, computed with GGA-PBE.

Lattice parameters (Å, degrees): 3.7497 3.7497 16.9624 90.00 90.00 90.00
Fractional coordinates of all 16 atoms:
Be 0.0000 0.0000 0.0000
Be 0.0000 0.5000 0.2500
Be 0.5000 0.0000 0.7500
Be 0.5000 0.5000 0.5000
Re 0.2020 0.2500 0.1250
Re 0.2500 0.7020 0.3750
Re 0.2500 0.7980 0.8750
Re 0.2980 0.2500 0.6250
Re 0.7020 0.7500 0.6250
Re 0.7500 0.2020 0.8750
Re 0.7500 0.2980 0.3750
Re 0.7980 0.7500 0.1250
Si 0.0000 0.0000 0.5000
Si 0.0000 0.5000 0.7500
Si 0.5000 0.0000 0.2500
Si 0.5000 0.5000 0.0000

Its density is 11.4 g cm⁻³. For the formation energy (no corrections), the calculation gives 452.9 meV/atom. The calculation puts the total energy at -8.058 eV/atom.


A relaxed structure of IrOsPb, computed with GGA-PBE.

Lattice parameters (Å, degrees): 3.0124 3.0124 12.3745 90.00 90.00 90.00
Fractional coordinates of all 6 atoms:
Ir 0.0000 0.0000 0.0000
Ir 0.5000 0.5000 0.5000
Os 0.0000 0.0000 0.3801
Os 0.5000 0.5000 0.8801
Pb 0.0000 0.0000 0.6936
Pb 0.5000 0.5000 0.1936

Its density is 17.4 g cm⁻³. The value obtained for the relative energy among the computed polymorphs is 2 meV per atom. The calculation puts the formation energy at 2.1 eV per formula unit. The calculation puts the total energy at -7.240 eV/atom.


A relaxed structure of LaYSc2Mn, computed with GGA-PBE.

Lattice parameters (Å, degrees): 5.0631 5.0631 5.2582 90.00 90.00 90.00
Fractional coordinates of all 5 atoms:
La 0.0000 0.0000 0.0000
Y 0.5000 0.5000 0.0000
Sc 0.0000 0.5000 0.5000
Sc 0.5000 0.0000 0.5000
Mn 0.5000 0.5000 0.5000

Its density is 4.6 g cm⁻³. The calculation puts the formation energy at 0.8 eV per formula unit. The calculation puts the total energy at -6.487 eV/atom.


A relaxed structure of Y3Pu5S8, computed with GGA-PBE.

Lattice parameters (Å, degrees): 7.8968 7.8968 7.8968 59.90 59.90 59.90
Fractional coordinates of all 16 atoms:
Y 0.0000 0.5000 0.5000
Y 0.5000 0.0000 0.5000
Y 0.5000 0.5000 0.0000
Pu 0.0000 0.0000 0.0000
Pu 0.0000 0.0000 0.5000
Pu 0.0000 0.5000 0.0000
Pu 0.5000 0.0000 0.0000
Pu 0.5000 0.5000 0.5000
S 0.2500 0.2500 0.7490
S 0.2500 0.7490 0.2500
S 0.2510 0.2510 0.2510
S 0.2510 0.7500 0.7500
S 0.7490 0.2500 0.2500
S 0.7490 0.7490 0.7490
S 0.7500 0.2510 0.7500
S 0.7500 0.7500 0.2510

Its density is 8.3 g cm⁻³. For the formation energy (no corrections), the calculation gives -1876.2 meV/atom. The calculation puts the total energy at -9.631 eV/atom.